The following is a DFT calculation (GGA-PBE) of a relaxed structure of GaCo3H.

Lattice parameters (Å, degrees): 9.4079 6.6133 6.6133 78.54 123.75 56.25
Last column: magnetic moment on the atom in μB.
Sites, in units of the cell vectors:
H 0.7500 0.1914 0.6914  -0.01
H 0.2500 0.8086 0.3086  -0.01
H 0.7500 0.4439 0.9439  -0.01
H 0.2500 0.5561 0.0561  -0.01
Co 0.4201 0.3898 0.4767  1.23
Co 0.0799 0.9767 0.8898  1.22
Co 0.5799 0.6102 0.5233  1.23
Co 0.9201 0.0233 0.1102  1.22
Co 0.0917 0.2203 0.1579  1.31
Co 0.4083 0.6579 0.7203  1.34
Co 0.9083 0.7797 0.8421  1.31
Co 0.5917 0.3421 0.2797  1.34
Co 0.5775 0.8655 0.7635  1.09
Co 0.9225 0.2635 0.3655  1.08
Co 0.4225 0.1345 0.2365  1.09
Co 0.0775 0.7365 0.6345  1.08
Ga 0.0742 0.4918 0.3637  -0.07
Ga 0.4258 0.8637 0.9918  -0.07
Ga 0.9258 0.5082 0.6363  -0.07
Ga 0.5742 0.1363 0.0082  -0.07

Results
Its theoretical density is 8.51 Mg/m³. As for the electronic total energy: -5.6004 eV per atom. The density of states at the Fermi level is 14.2 states/eV/cell. For the total magnetization, the calculation gives 0.695 μB/atom. As for the volume: 193 Å³/cell.

---

The following is a DFT calculation (GGA-PBE) of a relaxed structure of BaMg6Au4.

Lattice parameters (Å, degrees): 4.4055 8.0001 8.0001 120.00 90.00 90.00
Sites, in units of the cell vectors:
Ba 0.0000 0.0000 0.0000
Mg 0.0000 0.5337 0.0673
Mg 0.5000 0.5917 0.7958
Mg 0.0000 0.5337 0.4663
Mg 0.0000 0.9327 0.4663
Mg 0.5000 0.2042 0.7958
Mg 0.5000 0.2042 0.4083
Au 0.5000 0.7992 0.5985
Au 0.5000 0.4015 0.2008
Au 0.5000 0.7992 0.2008
Au 0.0000 0.3333 0.6667

Results
Its theoretical density is 7.28 Mg/m³. As for the electronic total energy: -2.7891 eV per atom. The density of states at the Fermi level is 6.3 states/eV/cell. For the total magnetization, the calculation gives 0.000 μB/atom. The calculation puts the energy of formation from the pure elements at -0.5528 eV/atom. As for the volume: 244 Å³/cell.

---

The following is a DFT calculation (GGA-PBE) of a relaxed structure of K2SnHOF6.

Lattice parameters (Å, degrees): 11.3573 10.8731 9.4216 67.62 62.28 50.09
Sites, in units of the cell vectors:
K 0.2527 0.4952 0.7522
K 0.4999 0.7522 0.4952
K 0.7548 0.9973 0.7501
K 0.4978 0.7501 0.9973
K 0.6525 0.3475 0.3475
K 0.0878 0.9122 0.9122
K 0.3378 0.1622 0.1622
K 0.9025 0.5975 0.5975
Sn 0.5919 0.4043 0.8361
Sn 0.1677 0.8361 0.4043
Sn 0.4139 0.0823 0.6581
Sn 0.8457 0.6581 0.0823
H 0.7333 0.1923 0.1097
H 0.9647 0.1097 0.1923
H 0.1403 0.2853 0.5167
H 0.0577 0.5167 0.2853
O 0.8209 0.0977 0.1564
O 0.9250 0.1564 0.0977
O 0.1523 0.4291 0.3250
O 0.0936 0.3250 0.4291
F 0.6696 0.5477 0.7572
F 0.0255 0.7572 0.5477
F 0.4968 0.2773 0.9065
F 0.3195 0.9065 0.2773
F 0.3435 0.9305 0.7532
F 0.9727 0.7532 0.9305
F 0.4928 0.2245 0.5804
F 0.7023 0.5804 0.2245
F 0.5826 0.3880 0.0609
F 0.9686 0.0609 0.3880
F 0.8082 0.1944 0.8037
F 0.1937 0.8037 0.1944
F 0.4463 0.0563 0.4418
F 0.0556 0.4418 0.0563
F 0.1891 0.2814 0.6674
F 0.8620 0.6674 0.2814
F 0.3656 0.6038 0.8676
F 0.1630 0.8676 0.6038
F 0.6010 0.4302 0.6092
F 0.3596 0.6092 0.4302
F 0.6408 0.8904 0.6490
F 0.8198 0.6490 0.8904
F 0.3824 0.0870 0.8844
F 0.6462 0.8844 0.0870

Results
Its theoretical density is 2.78 Mg/m³. As for the electronic total energy: -4.6836 eV per atom. The density of states at the Fermi level is 0.0 states/eV/cell. For the total magnetization, the calculation gives 0.003 μB/atom. As for the volume: 784 Å³/cell.